1.
Entry from the Alexandria database: a PBEsol-optimized structure of CrCdS2Cl (meta-GGA SCAN).

Lattice parameters (Å, degrees): 4.8900 4.8900 4.9928 90.00 90.00 90.00
Space group P4/mmm (No. 123)
Asymmetric unit:
1 Cr 0.0000 0.0000 0.0000 x1
2 Cd 0.5000 0.5000 0.5000 x1
3 S 0.0000 0.5000 0.5000 x2
4 Cl 0.5000 0.5000 0.0000 x1

Calculated values
**Formation energy (no corrections)**: 0.24 eV per atom
**Calculated total energy**: -14.968 eV/atom



2.
Entry from the Alexandria database: a PBEsol-optimized structure of AlPt2 (meta-GGA SCAN).

Lattice parameters (Å, degrees): 2.8727 2.8727 21.7700 90.00 90.00 90.00
Space group I4_1/amd (No. 141, origin choice 2)
Asymmetric unit:
1 Al 0.0000 0.2500 0.3750 x4
2 Pt 0.0000 0.2500 0.8044 x8

Calculated values
**Calculated total energy**: -50.337 eV/atom
**Formation enthalpy at 0 K**: -0.957 eV per atom



3.
Entry from the Alexandria database: a PBEsol-optimized structure of ScMoBr2 (meta-GGA SCAN).

Lattice parameters (Å, degrees): 3.0991 4.3890 5.8636 90.00 90.00 90.00
Space group Pmmm (No. 47)
Asymmetric unit:
1 Sc 0.0000 0.0000 0.0000 x1
2 Mo 0.5000 0.0000 0.5000 x1
3 Br 0.0000 0.5000 0.5000 x1
4 Br 0.5000 0.5000 0.0000 x1

Calculated values
**Energy above the most stable polymorph in this dataset**: 505 meV per atom
**Formation energy (no corrections)**: 0.08 eV per atom
**Calculated total energy**: -21.931 eV/atom